[1]
Entry from OQMD via LeMat-Bulk: Sm2Ga8Ni after structural relaxation (PBE).

Unit cell a=4.3071 b=4.3071 c=11.2031 alpha=90.00 beta=90.00 gamma=90.00
Closest atoms and distances in Å follow each position.
Sites, in units of the cell vectors:
Ni: 0.0000 0.0000 0.0000  8 Ga 2.52
Ga: 0.5000 0.5000 0.3077  8 Ga 3.03-3.05, 4 Sm 3.05
Ga: 0.0000 0.5000 0.8830  2 Ni 2.52, 1 Ga 2.62
Ga: 0.5000 0.0000 0.5000  8 Ga 3.05, 4 Sm 3.05
Ga: 0.0000 0.5000 0.5000  8 Ga 3.05, 4 Sm 3.05
Ga: 0.5000 0.0000 0.1170  2 Ni 2.52, 1 Ga 2.62
Ga: 0.5000 0.5000 0.6923  8 Ga 3.03-3.05, 4 Sm 3.05
Ga: 0.5000 0.0000 0.8830  2 Ni 2.52, 1 Ga 2.62
Ga: 0.0000 0.5000 0.1170  2 Ni 2.52, 1 Ga 2.62
Sm: 0.0000 0.0000 0.6934  12 Ga 3.03-3.05
Sm: 0.0000 0.0000 0.3066  12 Ga 3.03-3.05

## Properties
Final energy ... -0.1491 hartree per atom
M_tot ... 0.000 μB/atom

=====

[2]
Entry from OQMD via LeMat-Bulk: Sr7Pt3 after structural relaxation (PBE).

Unit cell a=10.7015 b=10.7015 c=6.9845 alpha=90.00 beta=90.00 gamma=120.00
Closest atoms and distances in Å follow each position.
Sites, in units of the cell vectors:
Pt: 0.3762 0.1881 0.3321  6 Sr 3.03-3.14
Sr: 0.2504 0.1252 0.7489  3 Pt 3.13-3.14
Sr: 0.5408 0.0815 0.0710  2 Pt 3.12
Pt: 0.6238 0.8119 0.8321  6 Sr 3.03-3.14
Sr: 0.4592 0.5408 0.5710  2 Pt 3.12
Pt: 0.1881 0.3762 0.8321  6 Sr 3.03-3.14
Sr: 0.3333 0.6667 0.0300  3 Pt 3.03
Sr: 0.5408 0.4592 0.0710  2 Pt 3.12
Sr: 0.0815 0.5408 0.5710  2 Pt 3.12
Sr: 0.6667 0.3333 0.5300  3 Pt 3.03
Sr: 0.9185 0.4592 0.0710  2 Pt 3.12
Sr: 0.1252 0.8748 0.2489  3 Pt 3.13-3.14
Sr: 0.1252 0.2504 0.2489  3 Pt 3.13-3.14
Pt: 0.8119 0.1881 0.3321  6 Sr 3.03-3.14
Pt: 0.8119 0.6238 0.3321  6 Sr 3.03-3.14
Sr: 0.8748 0.7496 0.7489  3 Pt 3.13-3.14
Sr: 0.4592 0.9185 0.5710  2 Pt 3.12
Sr: 0.8748 0.1252 0.7489  3 Pt 3.13-3.14
Pt: 0.1881 0.8119 0.8321  6 Sr 3.03-3.14
Sr: 0.7496 0.8748 0.2489  3 Pt 3.13-3.14

## Properties
Final energy ... -0.1327 hartree per atom
M_tot ... 0.000 μB/atom
Relative energy among the computed polymorphs ... 23 meV/atom

=====

[3]
Entry from OQMD via LeMat-Bulk: NaIrNO after structural relaxation (PBE).

Unit cell a=3.3299 b=3.3299 c=7.8486 alpha=90.00 beta=90.00 gamma=90.00
Closest atoms and distances in Å follow each position.
Sites, in units of the cell vectors:
N: 0.0000 0.0000 0.7156  4 Na 2.37, 4 Ir 2.53
N: 0.5000 0.5000 0.2844  4 Na 2.37, 4 Ir 2.53
Na: 0.5000 0.0000 0.5000  4 Na 2.35, 4 N 2.37
Ir: 0.0000 0.0000 0.1659  4 O 2.11
Ir: 0.5000 0.5000 0.8341  4 O 2.11
O: 0.5000 0.0000 0.0000  4 Ir 2.11, 4 O 2.35
O: 0.0000 0.5000 0.0000  4 Ir 2.11, 4 O 2.35
Na: 0.0000 0.5000 0.5000  4 Na 2.35, 4 N 2.37

## Properties
Final energy ... -0.1820 hartree per atom
M_tot ... 0.025 μB/atom
Relative energy among the computed polymorphs ... 1094 meV/atom